The following is a DFT calculation (GGA-PBE) of SrCaMg2 after structural relaxation.

Cell: 3.9819 3.9732 8.7781 Å, 90.00 90.00 90.00°
With the nearest neighbours (Å) after each atom.
Element x y z (fractional)
Mg 0.0000 0.0000 0.0331  4 Mg 3.18, 4 Ca 3.46
Sr 0.0000 0.0000 0.4612  5 Mg 3.62-3.76, 4 Sr 3.97-3.98
Ca 0.5000 0.5000 0.8037  5 Mg 3.46-3.50
Mg 0.5000 0.5000 0.2020  4 Mg 3.18, 1 Ca 3.50

Calculated values
The value obtained for the energy relative to the elements is -0.02 eV per atom. Its crystal system is tetragonal.

---

The following is a DFT calculation (GGA-PBE) of Pm2Zn3Hg after structural relaxation.

Cell: 5.9076 5.9076 8.8169 Å, 104.76 104.76 103.87°
With the nearest neighbours (Å) after each atom.
Element x y z (fractional)
Zn 0.6768 0.1613 0.8380  2 Zn 2.60, 1 Hg 2.76
Zn 0.3232 0.8387 0.1620  2 Zn 2.60, 1 Hg 2.76
Zn 0.8387 0.3232 0.1620  2 Zn 2.60, 1 Hg 2.76
Zn 0.1613 0.1613 0.3227  2 Zn 2.60, 1 Hg 2.76
Pm 0.2500 0.7500 0.5000  4 Hg 3.24, 8 Zn 3.27-3.28
Hg 0.3333 0.3333 0.6665  3 Zn 2.76
Zn 0.1613 0.6768 0.8380  2 Zn 2.60, 1 Hg 2.76
Zn 0.8387 0.8387 0.6773  2 Zn 2.60, 1 Hg 2.76
Pm 0.2523 0.2523 0.0000  10 Zn 3.18-3.27, 2 Hg 3.23
Pm 0.7477 0.7477 0.0000  10 Zn 3.18-3.27, 2 Hg 3.23
Pm 0.7500 0.2500 0.5000  4 Hg 3.24, 8 Zn 3.27-3.28
Hg 0.6667 0.6667 0.3335  3 Zn 2.76

Calculated values
The value obtained for the energy relative to the elements is -0.38 eV per atom. Its crystal system is orthorhombic.

---

The following is a DFT calculation (GGA-PBE) of Mg2CdIn4 after structural relaxation.

Cell: 6.0898 8.3655 8.3655 Å, 79.83 68.65 68.65°
With the nearest neighbours (Å) after each atom.
Element x y z (fractional)
In 0.7697 0.2343 0.7343  2 In 3.00-3.09, 4 Mg 3.00-3.11, 1 Cd 3.00
Mg 0.5000 0.0000 0.0000  4 In 3.10
In 0.2303 0.7657 0.2657  2 In 3.00-3.09, 4 Mg 3.00-3.11, 1 Cd 3.00
In 0.1479 0.3650 0.3392  1 Mg 3.08, 2 Cd 3.18, 1 In 3.35
In 0.7383 0.7657 0.2657  2 In 3.00-3.09, 4 Mg 3.00-3.11, 1 Cd 3.00
In 0.1479 0.8392 0.8650  1 Mg 3.08, 2 Cd 3.18, 1 In 3.35
Mg 0.5000 0.5000 0.5000  4 In 3.10
In 0.8521 0.1608 0.1350  1 Mg 3.08, 2 Cd 3.18, 1 In 3.35
Mg 0.2569 0.9931 0.4931  6 In 3.00-3.11, 2 Mg 3.05
Cd 0.0000 0.5000 0.0000  6 In 3.00-3.18, 2 Cd 3.04
Cd 0.5000 0.5000 0.0000  6 In 3.00-3.18, 2 Cd 3.04
Mg 0.7431 0.0069 0.5069  6 In 3.00-3.11, 2 Mg 3.05
In 0.8521 0.6350 0.6608  1 Mg 3.08, 2 Cd 3.18, 1 In 3.35
In 0.2617 0.2343 0.7343  2 In 3.00-3.09, 4 Mg 3.00-3.11, 1 Cd 3.00

Calculated values
The value obtained for the energy relative to the elements is 0.05 eV per atom. Its crystal system is orthorhombic.

---

The following is a DFT calculation (GGA-PBE) of As2IrAu after structural relaxation.

Cell: 2.9665 2.9665 8.2691 Å, 90.00 90.00 90.00°
With the nearest neighbours (Å) after each atom.
Element x y z (fractional)
Ir 0.5000 0.5000 0.7722  4 As 2.52
As 0.5000 0.5000 0.2724  4 Au 2.89, 4 As 2.97
Au 0.0000 0.0000 0.5133  4 As 2.89, 4 Au 2.97, 4 Ir 3.00
As 0.0000 0.0000 0.9421  4 Ir 2.52

Calculated values
The value obtained for the energy relative to the elements is 0.15 eV per atom. Its crystal system is tetragonal.

---

The following is a DFT calculation (GGA-PBE) of Dy8Zn2Ni after structural relaxation.

Cell: 5.0840 6.6728 9.0696 Å, 103.17 106.28 90.00°
With the nearest neighbours (Å) after each atom.
Element x y z (fractional)
Dy 0.2029 0.3162 0.4058  1 Zn 2.86
Dy 0.9737 0.2200 0.9474  1 Zn 2.95, 2 Ni 3.02, 1 Dy 3.28
Zn 0.1909 0.7363 0.3819  5 Dy 2.86-3.10
Ni 0.5000 0.0000 0.0000  8 Dy 2.77-3.02
Dy 0.3444 0.0353 0.6888  1 Ni 2.77, 3 Zn 2.93-3.10
Dy 0.0263 0.7800 0.0526  1 Zn 2.95, 2 Ni 3.02, 1 Dy 3.28
Zn 0.8091 0.2637 0.6181  5 Dy 2.86-3.10
Dy 0.4101 0.5585 0.8203  1 Ni 2.99
Dy 0.7971 0.6838 0.5942  1 Zn 2.86
Dy 0.6556 0.9647 0.3112  1 Ni 2.77, 3 Zn 2.93-3.10
Dy 0.5899 0.4415 0.1797  1 Ni 2.99

Calculated values
The value obtained for the energy relative to the elements is -0.15 eV per atom. Its crystal system is monoclinic.

---

The following is a DFT calculation (GGA-PBE) of Tb2SeO2 after structural relaxation.

Cell: 3.8710 3.8710 6.8666 Å, 90.00 90.00 120.00°
With the nearest neighbours (Å) after each atom.
Element x y z (fractional)
O 0.3333 0.6667 0.6255  4 Tb 2.30-2.31
Tb 0.6667 0.3333 0.7093  4 O 2.30-2.31
Se 0.0000 0.0000 0.0000  6 Tb 3.00
O 0.6667 0.3333 0.3745  4 Tb 2.30-2.31
Tb 0.3333 0.6667 0.2907  4 O 2.30-2.31

Calculated values
Its crystal system is trigonal. The calculation puts the formation energy without anion corrections at -3.115 eV/atom.

---

The following is a DFT calculation (GGA-PBE) of Tl2Ga2Te after structural relaxation.

Cell: 8.6910 8.6910 3.6661 Å, 90.00 90.00 90.00°
With the nearest neighbours (Å) after each atom.
Element x y z (fractional)
Ga 0.1527 0.6527 0.5000  6 Tl 3.07-3.18
Tl 0.6466 0.1466 0.0000  6 Ga 3.07-3.18, 2 Te 3.32
Te 0.0000 0.0000 0.0000  4 Tl 3.32, 2 Te 3.67
Ga 0.6527 0.8473 0.5000  6 Tl 3.07-3.18
Ga 0.8473 0.3473 0.5000  6 Tl 3.07-3.18
Tl 0.1466 0.3534 0.0000  6 Ga 3.07-3.18, 2 Te 3.32
Tl 0.3534 0.8534 0.0000  6 Ga 3.07-3.18, 2 Te 3.32
Tl 0.8534 0.6466 0.0000  6 Ga 3.07-3.18, 2 Te 3.32
Te 0.5000 0.5000 0.0000  4 Tl 3.32, 2 Te 3.67
Ga 0.3473 0.1527 0.5000  6 Tl 3.07-3.18

Calculated values
Its crystal system is tetragonal. The calculation puts the formation energy without anion corrections at 0.118 eV/atom.

---

The following is a DFT calculation (GGA-PBE) of Th2MgSc9 after structural relaxation.

Cell: 4.7264 4.7264 13.7629 Å, 90.00 90.00 90.00°
With the nearest neighbours (Å) after each atom.
Element x y z (fractional)
Sc 0.0000 0.5000 0.1621  2 Mg 3.25, 8 Sc 3.25-3.34, 2 Th 3.32
Sc 0.5000 0.5000 0.0000  8 Sc 3.25, 4 Mg 3.34
Sc 0.5000 0.0000 0.1621  8 Sc 3.25-3.34, 2 Mg 3.25, 2 Th 3.32
Sc 0.0000 0.5000 0.8379  2 Mg 3.25, 8 Sc 3.25-3.34, 2 Th 3.32
Sc 0.5000 0.5000 0.3266  8 Sc 3.27-3.36, 4 Th 3.34
Sc 0.0000 0.5000 0.5000  4 Th 3.31, 8 Sc 3.34-3.36
Mg 0.0000 0.0000 0.0000  12 Sc 3.25-3.34
Sc 0.5000 0.0000 0.8379  8 Sc 3.25-3.34, 2 Mg 3.25, 2 Th 3.32
Th 0.0000 0.0000 0.6683  12 Sc 3.31-3.34
Sc 0.5000 0.5000 0.6734  8 Sc 3.27-3.36, 4 Th 3.34
Th 0.0000 0.0000 0.3317  12 Sc 3.31-3.34
Sc 0.5000 0.0000 0.5000  4 Th 3.31, 8 Sc 3.34-3.36

Calculated values
The value obtained for the energy relative to the elements is 0.04 eV per atom. Its crystal system is tetragonal.

---

The following is a DFT calculation (GGA-PBE) of DyHoPd14 after structural relaxation.

Cell: 5.7472 5.7473 7.9784 Å, 90.00 90.00 89.99°
With the nearest neighbours (Å) after each atom.
Element x y z (fractional)
Pd 0.3750 0.8750 0.0000  12 Pd 2.80-2.87
Pd 0.6248 0.1252 0.7580  10 Pd 2.80-2.89, 1 Ho 2.89, 1 Dy 2.89
Pd 0.1252 0.6248 0.7580  10 Pd 2.80-2.89, 1 Ho 2.89, 1 Dy 2.89
Pd 0.1252 0.1252 0.7580  10 Pd 2.80-2.89, 1 Ho 2.89, 1 Dy 2.89
Pd 0.8750 0.8750 0.0000  12 Pd 2.80-2.87
Pd 0.6248 0.1252 0.2420  10 Pd 2.80-2.89, 1 Ho 2.89, 1 Dy 2.89
Pd 0.1252 0.1252 0.2420  10 Pd 2.80-2.89, 1 Ho 2.89, 1 Dy 2.89
Pd 0.8750 0.3750 0.0000  12 Pd 2.80-2.87
Ho 0.3750 0.3750 0.5000  12 Pd 2.87-2.89
Pd 0.3750 0.3750 0.0000  12 Pd 2.80-2.87
Dy 0.8750 0.8750 0.5000  12 Pd 2.87-2.89
Pd 0.8750 0.3750 0.5000  2 Ho 2.87, 2 Dy 2.87, 8 Pd 2.89
Pd 0.6248 0.6248 0.7580  10 Pd 2.80-2.89, 1 Ho 2.89, 1 Dy 2.89
Pd 0.3750 0.8750 0.5000  2 Ho 2.87, 2 Dy 2.87, 8 Pd 2.89
Pd 0.1252 0.6248 0.2420  10 Pd 2.80-2.89, 1 Ho 2.89, 1 Dy 2.89
Pd 0.6248 0.6248 0.2420  10 Pd 2.80-2.89, 1 Ho 2.89, 1 Dy 2.89

Calculated values
The value obtained for the energy relative to the elements is -0.42 eV per atom. Its crystal system is tetragonal.

---

The following is a DFT calculation (GGA-PBE) of HfScAg after structural relaxation.

Cell: 8.3907 6.2484 4.8333 Å, 90.00 90.00 90.00°
With the nearest neighbours (Å) after each atom.
Element x y z (fractional)
Sc 0.5000 0.5000 0.5000  2 Sc 3.12, 6 Ag 3.20-3.21, 6 Hf 3.20
Sc 0.0000 0.0000 0.0000  2 Sc 3.12, 6 Ag 3.20-3.21, 6 Hf 3.20
Ag 0.8339 0.7500 0.5000  5 Hf 2.79-3.12
Hf 0.6672 0.7500 0.0000  5 Ag 2.79-3.12
Ag 0.1661 0.2500 0.5000  5 Hf 2.79-3.12
Ag 0.6661 0.2500 0.0000  5 Hf 2.79-3.12
Ag 0.3339 0.7500 0.0000  5 Hf 2.79-3.12
Sc 0.5000 0.0000 0.5000  2 Sc 3.12, 6 Ag 3.20-3.21, 6 Hf 3.20
Hf 0.1672 0.7500 0.5000  5 Ag 2.79-3.12
Sc 0.0000 0.5000 0.0000  2 Sc 3.12, 6 Ag 3.20-3.21, 6 Hf 3.20
Hf 0.8328 0.2500 0.5000  5 Ag 2.79-3.12
Hf 0.3328 0.2500 0.0000  5 Ag 2.79-3.12

Calculated values
The value obtained for the energy relative to the elements is 0.06 eV per atom. Its crystal system is orthorhombic.

---

The following is a DFT calculation (GGA-PBE) of SrCeAgAu after structural relaxation.

Cell: 5.3542 5.3542 5.3542 Å, 60.00 60.00 60.00°
With the nearest neighbours (Å) after each atom.
Element x y z (fractional)
Ce 0.0000 0.0000 0.0000  4 Ag 3.28, 4 Au 3.28
Ag 0.2500 0.2500 0.2500  4 Ce 3.28, 4 Sr 3.28
Sr 0.5000 0.5000 0.5000  4 Au 3.28, 4 Ag 3.28
Au 0.7500 0.7500 0.7500  4 Sr 3.28, 4 Ce 3.28

Calculated values
The value obtained for the energy relative to the elements is -0.38 eV per atom. Its crystal system is cubic.

---

The following is a DFT calculation (GGA-PBE) of Ba2SrCd2 after structural relaxation.

Cell: 9.6225 9.6225 4.6544 Å, 90.00 90.00 90.00°
With the nearest neighbours (Å) after each atom.
Element x y z (fractional)
Ba 0.6571 0.8429 0.5000  6 Cd 3.65-3.67
Cd 0.1339 0.3661 0.0000  1 Cd 3.64, 6 Ba 3.65-3.67, 2 Sr 3.75
Cd 0.6339 0.1339 0.0000  1 Cd 3.64, 6 Ba 3.65-3.67, 2 Sr 3.75
Sr 0.5000 0.5000 0.0000  4 Cd 3.75
Sr 0.0000 0.0000 0.0000  4 Cd 3.75
Ba 0.8429 0.3429 0.5000  6 Cd 3.65-3.67
Ba 0.1571 0.6571 0.5000  6 Cd 3.65-3.67
Cd 0.8661 0.6339 0.0000  1 Cd 3.64, 6 Ba 3.65-3.67, 2 Sr 3.75
Cd 0.3661 0.8661 0.0000  1 Cd 3.64, 6 Ba 3.65-3.67, 2 Sr 3.75
Ba 0.3429 0.1571 0.5000  6 Cd 3.65-3.67

Calculated values
The value obtained for the energy relative to the elements is -0.24 eV per atom. Its crystal system is tetragonal.

---

no.,total energy (eV per cell),volume (Å³/atom)
1,-6.938,34.72
2,-31.822,22.67
3,-29.366,26.37
4,-20.825,18.19
5,-46.850,26.08
6,-38.236,17.82
7,-26.680,27.69
8,-72.953,25.62
9,-88.590,16.47
10,-75.816,21.12
11,-15.257,27.13
12,-17.083,43.10